Record 1
CaPt2 | PBE | relaxed

The calculation puts the formation energy from the elements at -1.76 eV per formula unit. The value obtained for the density of states at the Fermi level is 2.02 states/eV/f.u. Its total magnetization is 0.0 μB/cell.

Unit cell a=3.791 b=3.791 c=4.630 alpha=90.00 beta=90.00 gamma=90.00
Positions (direct):
Ca 0.000 0.000 0.000
Pt 0.000 0.500 0.500
Pt 0.500 0.000 0.500

***

Record 2
Na2CoAgH6 | PBE | relaxed

The total energy comes out at -3.417 eV/atom. Its total magnetization is 0.1 μB/cell.

Unit cell a=5.030 b=5.030 c=5.102 alpha=90.00 beta=90.00 gamma=120.00
Positions (direct):
Na 0.333 0.667 0.330
Na 0.667 0.333 0.670
Co 0.000 0.000 0.500
Ag 0.000 0.000 0.000
H 0.148 0.296 0.671
H 0.148 0.852 0.671
H 0.296 0.148 0.329
H 0.704 0.852 0.671
H 0.852 0.148 0.329
H 0.852 0.704 0.329

***

Record 3
KAgHgBi | PBE | relaxed

The calculation puts the formation energy from the elements at -0.16 eV per formula unit. The value obtained for the density of states at the Fermi level is 3.24 states/eV/f.u. Its total magnetization is 0.0 μB/cell.

Unit cell a=5.416 b=5.416 c=5.416 alpha=60.00 beta=60.00 gamma=60.00
Positions (direct):
K 0.000 0.000 0.000
Ag 0.250 0.250 0.250
Hg 0.750 0.750 0.750
Bi 0.500 0.500 0.500

***

Record 4
Y2CoNi | PBE | relaxed

The calculation puts the formation energy from the elements at 0.05 eV per formula unit. The value obtained for the density of states at the Fermi level is 3.51 states/eV/f.u. Its total magnetization is 0.0 μB/cell.

Unit cell a=4.024 b=3.796 c=5.510 alpha=90.00 beta=90.10 gamma=90.00
Positions (direct):
Y 0.000 0.000 0.000
Y 0.500 0.500 0.500
Co 0.000 0.000 0.500
Ni 0.500 0.500 0.000

***

Record 5
CuNi2Pt2 | PBE | relaxed

The calculation puts the formation energy from the elements at -0.46 eV per formula unit. The value obtained for the density of states at the Fermi level is 6.47 states/eV/f.u. The energy above the most stable polymorph in this dataset comes out at 0.000 eV/atom. Its total magnetization is 1.6 μB/cell.

Unit cell a=7.086 b=7.086 c=7.086 alpha=158.01 beta=150.36 gamma=37.21
Positions (direct):
Cu 0.000 0.000 0.000
Ni 0.204 0.204 0.000
Ni 0.796 0.796 0.000
Pt 0.395 0.395 0.000
Pt 0.605 0.605 0.000

***

Record 6
Ac4Rh2O | PBE | relaxed

The value obtained for the density of states at the Fermi level is 5.65 states/eV/f.u. The total energy comes out at -6.230 eV/atom. Its total magnetization is 0.0 μB/cell.

Unit cell a=8.473 b=8.473 c=8.473 alpha=144.93 beta=144.93 gamma=50.44
Positions (direct):
Ac 0.000 0.500 0.500
Ac 0.192 0.192 0.000
Ac 0.500 0.000 0.500
Ac 0.808 0.808 0.000
Rh 0.374 0.374 0.000
Rh 0.626 0.626 0.000
O 0.000 0.000 0.000

***

Record 7
PRuWS2 | PBE | relaxed

The value obtained for the density of states at the Fermi level is 8.32 states/eV/f.u. The energy above the most stable polymorph in this dataset comes out at 0.360 eV/atom. Its total magnetization is 0.0 μB/cell.

Unit cell a=4.495 b=4.495 c=4.491 alpha=90.00 beta=90.00 gamma=90.00
Positions (direct):
P 0.000 0.000 0.000
Ru 0.000 0.000 0.500
W 0.500 0.500 0.000
S 0.000 0.500 0.500
S 0.500 0.000 0.500

***

Record 8
CeMg2AlAu2 | PBE | relaxed

The calculation puts the formation energy from the elements at -1.41 eV per formula unit. The value obtained for the density of states at the Fermi level is 10.83 states/eV/f.u. Its total magnetization is 1.2 μB/cell.

Unit cell a=6.670 b=6.670 c=6.670 alpha=133.91 beta=133.91 gamma=67.23
Positions (direct):
Ce 0.000 0.000 0.000
Mg 0.250 0.750 0.500
Mg 0.750 0.250 0.500
Al 0.500 0.500 0.000
Au 0.280 0.280 0.000
Au 0.720 0.720 0.000

***

Record 9
CuReGe | PBE | relaxed

The calculation puts the formation energy from the elements at 0.35 eV per formula unit. The value obtained for the density of states at the Fermi level is 1.08 states/eV/f.u. Its total magnetization is 0.0 μB/cell.

Unit cell a=3.099 b=3.099 c=8.705 alpha=90.00 beta=90.00 gamma=90.00
Positions (direct):
Cu 0.250 0.250 0.073
Cu 0.750 0.750 0.927
Re 0.250 0.250 0.404
Re 0.750 0.750 0.596
Ge 0.250 0.250 0.769
Ge 0.750 0.750 0.231

***

Record 10
LiY2Ta | PBE | relaxed

The calculation puts the formation energy from the elements at 1.97 eV per formula unit. The value obtained for the density of states at the Fermi level is 6.01 states/eV/f.u. The energy above the most stable polymorph in this dataset comes out at 0.242 eV/atom. Its total magnetization is 0.0 μB/cell.

Unit cell a=5.786 b=5.786 c=5.786 alpha=135.00 beta=135.00 gamma=65.53
Positions (direct):
Li 0.000 0.000 0.000
Y 0.500 0.500 0.000
Y 0.750 0.250 0.500
Ta 0.250 0.750 0.500

***

Record 11
Gd2ZrSc | PBE | relaxed

The calculation puts the formation energy from the elements at 0.38 eV per formula unit. The value obtained for the density of states at the Fermi level is 5.37 states/eV/f.u. The energy above the most stable polymorph in this dataset comes out at 0.000 eV/atom. Its total magnetization is 14.1 μB/cell.

Unit cell a=4.773 b=4.773 c=4.777 alpha=90.00 beta=90.00 gamma=90.00
Positions (direct):
Gd 0.000 0.500 0.000
Gd 0.500 0.000 0.000
Zr 0.000 0.000 0.500
Sc 0.500 0.500 0.500

***

Record 12
TbDy6Y8 | PBE | relaxed

The calculation puts the formation energy from the elements at 1.95 eV per formula unit. The value obtained for the density of states at the Fermi level is 23.65 states/eV/f.u. The energy above the most stable polymorph in this dataset comes out at 0.000 eV/atom. Its total magnetization is 0.0 μB/cell.

Unit cell a=8.647 b=8.647 c=8.647 alpha=63.07 beta=63.07 gamma=63.07
Positions (direct):
Tb 0.000 0.000 0.000
Dy 0.110 0.541 0.227
Dy 0.227 0.110 0.541
Dy 0.459 0.773 0.890
Dy 0.541 0.227 0.110
Dy 0.773 0.890 0.459
Dy 0.890 0.459 0.773
Y 0.110 0.720 0.745
Y 0.255 0.890 0.280
Y 0.280 0.255 0.890
Y 0.423 0.423 0.423
Y 0.577 0.577 0.577
Y 0.720 0.745 0.110
Y 0.745 0.110 0.720
Y 0.890 0.280 0.255

***

Record 13
La2AuCl | PBE | relaxed

The value obtained for the density of states at the Fermi level is 3.29 states/eV/f.u. The energy above the most stable polymorph in this dataset comes out at 0.243 eV/atom. Its total magnetization is 0.0 μB/cell.

Unit cell a=5.297 b=5.297 c=5.297 alpha=60.00 beta=60.00 gamma=60.00
Positions (direct):
La 0.250 0.250 0.250
La 0.750 0.750 0.750
Au 0.000 0.000 0.000
Cl 0.500 0.500 0.500

***

Record 14
Tb5PrY8 | PBE | relaxed

The calculation puts the formation energy from the elements at 3.35 eV per formula unit. The value obtained for the density of states at the Fermi level is 22.30 states/eV/f.u. Its total magnetization is 0.0 μB/cell.

Unit cell a=8.481 b=8.481 c=8.481 alpha=111.51 beta=111.51 gamma=105.48
Positions (direct):
Tb 0.000 0.000 0.000
Tb 0.216 0.316 0.678
Tb 0.462 0.784 0.100
Tb 0.638 0.538 0.322
Tb 0.684 0.362 0.900
Pr 0.250 0.750 0.500
Y 0.162 0.420 0.089
Y 0.331 0.073 0.911
Y 0.423 0.173 0.394
Y 0.580 0.669 0.742
Y 0.780 0.029 0.606
Y 0.827 0.220 0.249
Y 0.927 0.838 0.258
Y 0.971 0.577 0.751

***

Record 15
K2N2O | PBE | relaxed

The value obtained for the density of states at the Fermi level is 0.03 states/eV/f.u. The total energy comes out at -5.183 eV/atom. Its total magnetization is 0.0 μB/cell.

Unit cell a=7.235 b=7.235 c=4.805 alpha=90.00 beta=90.00 gamma=90.00
Positions (direct):
K 0.232 0.268 0.000
K 0.268 0.768 0.000
K 0.732 0.232 0.000
K 0.768 0.732 0.000
N 0.055 0.555 0.500
N 0.445 0.055 0.500
N 0.555 0.945 0.500
N 0.945 0.445 0.500
O 0.000 0.000 0.000
O 0.500 0.500 0.000

***

Record 16
NaCrGaB2 | PBE | relaxed

The calculation puts the formation energy from the elements at 5.95 eV per formula unit. The value obtained for the density of states at the Fermi level is 1.92 states/eV/f.u. Its total magnetization is 1.9 μB/cell.

Unit cell a=4.043 b=4.043 c=5.101 alpha=90.00 beta=90.00 gamma=90.00
Positions (direct):
Na 0.000 0.000 0.000
Cr 0.000 0.000 0.500
Ga 0.500 0.500 0.000
B 0.000 0.500 0.500
B 0.500 0.000 0.500

***

Record 17
VCo3S | PBE | relaxed

The value obtained for the density of states at the Fermi level is 6.66 states/eV/f.u. The energy above the most stable polymorph in this dataset comes out at 0.000 eV/atom. Its total magnetization is 5.1 μB/cell.

Unit cell a=4.073 b=4.073 c=4.073 alpha=90.00 beta=90.00 gamma=90.00
Positions (direct):
V 0.000 0.000 0.000
Co 0.000 0.500 0.500
Co 0.500 0.000 0.500
Co 0.500 0.500 0.000
S 0.500 0.500 0.500

***

Record 18
FeCuIrRh2 | PBE | relaxed

The calculation puts the formation energy from the elements at 6.71 eV per formula unit. The value obtained for the density of states at the Fermi level is 7.96 states/eV/f.u. Its total magnetization is 0.0 μB/cell.

Unit cell a=4.312 b=4.312 c=4.326 alpha=90.00 beta=90.00 gamma=90.00
Positions (direct):
Fe 0.000 0.000 0.000
Cu 0.000 0.000 0.500
Ir 0.500 0.500 0.500
Rh 0.000 0.500 0.000
Rh 0.500 0.000 0.000

***

Record 19
EuHCl | PBE | relaxed

The total energy comes out at -6.593 eV/atom. Its total magnetization is 7.0 μB/cell.

Unit cell a=3.968 b=3.968 c=4.218 alpha=90.00 beta=90.00 gamma=120.00
Positions (direct):
Eu 0.000 0.000 0.000
H 0.333 0.667 0.000
Cl 0.667 0.333 0.500

***

Record 20
Sm2Tm3Tl4 | PBE | relaxed

The calculation puts the formation energy from the elements at -2.55 eV per formula unit. The value obtained for the density of states at the Fermi level is 6.98 states/eV/f.u. The energy above the most stable polymorph in this dataset comes out at 0.000 eV/atom. Its total magnetization is 0.0 μB/cell.

Unit cell a=5.256 b=5.256 c=10.645 alpha=90.07 beta=90.07 gamma=60.07
Positions (direct):
Sm 0.167 0.167 0.276
Sm 0.833 0.833 0.724
Tm 0.167 0.167 0.928
Tm 0.500 0.500 0.500
Tm 0.833 0.833 0.072
Tl 0.167 0.167 0.603
Tl 0.500 0.500 0.152
Tl 0.500 0.500 0.848
Tl 0.833 0.833 0.397